An optimized crystal structure of YHoZnOs. Source: Alexandria, functional GGA-PBE.

Computed properties:
* energy of formation: -0.28 eV per atom
* calculated total energy: -6.167 eV/atom

Lattice parameters (Å, degrees): 6.935 6.935 6.935 90.00 90.00 90.00
Space group F-43m (No. 216)
One atom of each set of equivalent atoms:
Y1 0.000 0.000 0.000
Ho1 0.000 0.000 0.500
Zn1 0.250 0.250 0.750
Os1 0.250 0.250 0.250